A plane-wave DFT calculation with GGA-PBE was carried out for an optimized crystal structure of Nd8Os3CBr4.

Cell: 8.1548 8.1548 9.0674 Å, 116.62 116.62 60.06°
Positions (direct):
Nd  0.2199  0.2199  0.6839
Nd  0.2200  0.7442  0.6843
Nd  0.2558  0.7800  0.3157
Nd  0.2643  0.2643  0.2924
Nd  0.7357  0.7357  0.7076
Nd  0.7442  0.2200  0.6843
Nd  0.7800  0.2558  0.3157
Nd  0.7801  0.7801  0.3161
Os  0.0000  0.5000  0.5000
Os  0.5000  0.0000  0.5000
Os  0.5000  0.5000  0.5000
C  0.0000  0.0000  0.5000
Br  0.0000  0.0000  0.0000
Br  0.0000  0.5000  0.0000
Br  0.5000  0.0000  0.0000
Br  0.5000  0.5000  0.0000

Values from the calculation:
Formation energy from raw total energies: -1067 kJ/mol of formula units
Space-group type: C2/m, No. 12
DFT total energy: -98.8 eV per cell
Fermi-level density of states: 0.357 states/eV/atom

=====

A plane-wave DFT calculation with GGA-PBE was carried out for an optimized crystal structure of AcMgGe2.

Cell: 4.8109 4.8109 4.3600 Å, 90.00 90.00 90.00°
Positions (direct):
Ac  0.0000  0.0000  0.0000
Mg  0.5000  0.5000  0.0000
Ge  0.0000  0.5000  0.5000
Ge  0.5000  0.0000  0.5000

Values from the calculation:
Space-group type: P4/mmm, No. 123
DFT total energy: -16.3 eV per cell
Energy relative to the elements: -0.338 eV per atom
Fermi-level density of states: 0.843 states/eV/atom

=====

A plane-wave DFT calculation with GGA-PBE was carried out for an optimized crystal structure of DyTm3Sc.

Cell: 8.9259 6.1067 11.8966 Å, 90.00 114.83 90.00°
Positions (direct):
Dy  0.1533  0.1672  0.1020
Dy  0.1533  0.3328  0.6020
Dy  0.8467  0.6672  0.3980
Dy  0.8467  0.8328  0.8980
Tm  0.0481  0.6641  0.1990
Tm  0.0481  0.8359  0.6990
Tm  0.2560  0.6693  0.0002
Tm  0.2560  0.8307  0.5002
Tm  0.4514  0.6691  0.8028
Tm  0.4514  0.8309  0.3028
Tm  0.5486  0.1691  0.6972
Tm  0.5486  0.3309  0.1972
Tm  0.7440  0.1693  0.4998
Tm  0.7440  0.3307  0.9998
Tm  0.9519  0.1641  0.3010
Tm  0.9519  0.3359  0.8010
Sc  0.3527  0.1640  0.9008
Sc  0.3527  0.3360  0.4008
Sc  0.6473  0.6640  0.5992
Sc  0.6473  0.8360  0.0992

Values from the calculation:
Space-group type: P2_1/c, No. 14
DFT total energy: -97.2 eV per cell
Energy relative to the elements: 0.010 eV per atom
Fermi-level density of states: 1.728 states/eV/atom